1.
Here is an optimized crystal structure of LaErZn4 from OQMD via LeMat-Bulk. Energies are from PBE.

Results
Calculated volume = 126 Å³ per cell
Symmetry = No. 44
E_form = -366.9 meV per atom

extended XYZ file:
```
6
Lattice="-2.2703 3.6294 3.8110 2.2703 -3.6294 3.8110 2.2703 3.6294 -3.8110" Properties=species:S:1:pos:R:3 pbc="T T T"
Er 0.0000 3.6294 3.6296
La 0.0000 0.0000 4.0817
Zn 0.0000 1.4578 1.2408
Zn 2.2703 -1.4921 2.5254
Zn 2.2703 1.4921 2.5254
Zn 0.0000 5.8009 1.2408
```


2.
Here is an optimized crystal structure of Li2Er from OQMD via LeMat-Bulk. Energies are from PBE.

Results
Calculated volume = 130 Å³ per cell
Symmetry = No. 227
Offset from the most stable computed form = 0.000 eV/atom

extended XYZ file:
```
6
Lattice="0.0000 4.0193 4.0193 4.0193 0.0000 4.0193 4.0193 4.0193 0.0000" Properties=species:S:1:pos:R:3 pbc="T T T"
Er 0.0000 0.0000 0.0000
Er 2.0096 2.0096 2.0096
Li 3.0144 3.0144 5.0241
Li 3.0144 5.0241 3.0144
Li 5.0241 3.0144 3.0144
Li 5.0241 5.0241 5.0241
```


3.
Here is an optimized crystal structure of Li2Er from OQMD via LeMat-Bulk. Energies are from PBE.

Results
Calculated volume = 68 Å³ per cell
Symmetry = No. 191
Offset from the most stable computed form = 0.064 eV/atom

extended XYZ file:
```
3
Lattice="-2.2655 0.9038 -4.2614 -0.6435 -4.3134 2.2560 -2.5429 1.2220 1.6111" Properties=species:S:1:pos:R:3 pbc="T T T"
Er 0.0000 0.0000 0.0000
Li -2.9963 -0.2242 -1.2834
Li -2.4556 -1.9633 0.8891
```


4.
Here is an optimized crystal structure of Li2Er from OQMD via LeMat-Bulk. Energies are from PBE.

Results
Calculated volume = 87 Å³ per cell
Symmetry = No. 225
Offset from the most stable computed form = 0.673 eV/atom

extended XYZ file:
```
3
Lattice="0.0000 3.5104 3.5104 3.5104 0.0000 3.5104 3.5104 3.5104 0.0000" Properties=species:S:1:pos:R:3 pbc="T T T"
Er 0.0000 0.0000 0.0000
Li 1.7552 1.7552 1.7552
Li 5.2656 5.2656 5.2656
```